VASP calculation (PBE-GGA) on MgCoCu after structural relaxation.

Values from the calculation:
Crystal system: cubic
Energy relative to the lowest polymorph listed for this composition: 46.2 kJ/mol of atoms
Spin magnetization: 1.32 μB per formula unit
Space group: F-43m (216)
E_form: 0.46 eV/atom

a b c (Å): 4.082 4.082 4.082
angles (deg): 60.00 60.00 60.00
Last column: magnetic moment on the atom in μB.
Positions (direct):
Mg1 0.000 0.000 0.000  -0.02
Co1 0.500 0.500 0.500  1.41
Cu1 0.750 0.750 0.750  0.06